(1)
Here is Ce2Er3Fe2 after structural relaxation from Alexandria. Energies are from PBE. Values from VASP.

```
&SYSTEM
  ibrav = 0, nat = 7, ntyp = 3
/
ATOMIC_SPECIES
Ce 140.12 Ce.upf
Er 167.26 Er.upf
Fe 55.84 Fe.upf
CELL_PARAMETERS angstrom
0.4610 -1.6111 -3.1445
2.1290 -3.8180 4.2843
-8.6389 -0.6197 1.0661
ATOMIC_POSITIONS angstrom
Ce -5.7050 -3.1981 0.7969
Ce -0.3439 -2.8508 1.4089
Er 0.2305 -0.8056 -1.5723
Er -3.2369 -3.8294 3.5011
Er -2.8119 -2.2195 -1.2953
Fe -0.2611 -3.3078 3.6732
Fe -5.7877 -2.7411 -1.4674
```

Properties
**ΔH_f (0 K)**: -101 meV/atom
**Space group**: C2/m
**Total energy**: -6.169 eV per atom
**ρ**: 8704 kg/m³
**Fermi-level density of states**: 7.87 states/eV per cell

(2)
Here is CeErFe10 after structural relaxation from Alexandria. Energies are from PBE. Values from VASP.

```
&SYSTEM
  ibrav = 0, nat = 12, ntyp = 3
/
ATOMIC_SPECIES
Ce 140.12 Ce.upf
Er 167.26 Er.upf
Fe 55.84 Fe.upf
CELL_PARAMETERS angstrom
3.9816 0.0000 0.0000
0.0000 4.9881 0.0000
0.0000 0.0000 8.6064
ATOMIC_POSITIONS angstrom
Ce 0.0000 0.0000 0.0000
Er 0.0000 2.4940 4.3032
Fe 0.0000 0.0000 2.8689
Fe 0.0000 2.4940 7.1743
Fe 0.0000 2.4940 1.4321
Fe 0.0000 0.0000 5.7375
Fe 1.9908 0.0000 4.3032
Fe 1.9908 2.4940 0.0000
Fe 1.9908 1.2585 2.1850
Fe 1.9908 3.7296 6.4214
Fe 1.9908 3.7296 2.1850
Fe 1.9908 1.2585 6.4214
```

Properties
**ΔH_f (0 K)**: -36 meV/atom
**Space group**: Pmmm
**Total energy**: -7.963 eV per atom
**ρ**: 8411 kg/m³
**Fermi-level density of states**: 12.80 states/eV per cell

(3)
Here is CeErFe after structural relaxation from Alexandria. Energies are from PBE. Values from VASP.

```
&SYSTEM
  ibrav = 0, nat = 6, ntyp = 3
/
ATOMIC_SPECIES
Fe 55.84 Fe.upf
Er 167.26 Er.upf
Ce 140.12 Ce.upf
CELL_PARAMETERS angstrom
5.1687 0.1173 0.1304
2.4805 4.5378 0.1898
2.3932 1.3764 6.3815
ATOMIC_POSITIONS angstrom
Fe 2.5165 1.5134 1.4560
Fe 7.5259 4.5181 5.2456
Er 7.5932 4.5922 2.5693
Er 2.4492 1.4393 4.1323
Ce 5.0808 3.0822 0.9618
Ce 4.9617 2.9493 5.7398
```

Properties
**ΔH_f (0 K)**: -33 meV/atom
**Space group**: R-3m
**Total energy**: -6.352 eV per atom
**ρ**: 8288 kg/m³
**Fermi-level density of states**: 4.48 states/eV per cell

(4)
Here is Ce3ErFe after structural relaxation from Alexandria. Energies are from PBE. Values from VASP.

```
&SYSTEM
  ibrav = 0, nat = 5, ntyp = 3
/
ATOMIC_SPECIES
Fe 55.84 Fe.upf
Ce 140.12 Ce.upf
Er 167.26 Er.upf
CELL_PARAMETERS angstrom
5.1769 0.0000 0.0000
0.0000 5.1769 0.0000
0.0000 0.0000 5.1769
ATOMIC_POSITIONS angstrom
Fe 0.0000 0.0000 0.0000
Ce 0.0000 2.5885 0.0000
Ce 0.0000 0.0000 2.5885
Ce 2.5885 0.0000 0.0000
Er 2.5885 2.5885 2.5885
```

Properties
**ΔH_f (0 K)**: 109 meV/atom
**Space group**: Pm-3m
**Total energy**: -6.056 eV per atom
**ρ**: 7701 kg/m³
**Fermi-level density of states**: 14.23 states/eV per cell

Q: Fermi-level density of states of number 2 (CeErFe10)?
A: 12.80 states/eV per cell

Q: The lowest total energy belongs to which entry?
A: CeErFe10

Q: Number 4 is which compound?
A: Ce3ErFe